No. 1
Material: K2RbZnAs2
Method: DFT, PBE-GGA
State: relaxed

CIF file:
```
data_K2RbZnAs2
_cell_length_a 8.832
_cell_length_b 8.832
_cell_length_c 8.832
_cell_angle_alpha 121.52
_cell_angle_beta 77.32
_cell_angle_gamma 134.16
_symmetry_space_group_name_H-M 'P 1'
_symmetry_Int_Tables_number 1
_symmetry_space_group_name_Hall 'P 1'
loop_
_atom_site_label
_atom_site_fract_x
_atom_site_fract_y
_atom_site_fract_z
K1 0.180 0.175 0.356
K2 0.320 0.675 0.995
K3 0.680 0.325 0.005
K4 0.820 0.825 0.644
Rb1 0.250 0.750 0.500
Rb2 0.750 0.250 0.500
Zn1 0.250 0.250 0.000
Zn2 0.750 0.750 0.000
As1 0.089 0.824 0.914
As2 0.411 0.324 0.735
As3 0.589 0.676 0.265
As4 0.911 0.176 0.086
```

Formation energy, eV per atom: -0.302



No. 2
Material: TbCe2Ni
Method: DFT, PBE-GGA
State: relaxed

CIF file:
```
data_TbCe2Ni
_cell_length_a 3.545
_cell_length_b 3.545
_cell_length_c 8.062
_cell_angle_alpha 90.00
_cell_angle_beta 90.00
_cell_angle_gamma 90.00
_symmetry_space_group_name_H-M 'P 1'
_symmetry_Int_Tables_number 1
_symmetry_space_group_name_Hall 'P 1'
loop_
_atom_site_label
_atom_site_fract_x
_atom_site_fract_y
_atom_site_fract_z
Tb1 0.000 0.000 0.000
Ce1 0.500 0.500 0.317
Ce2 0.500 0.500 0.683
Ni1 0.000 0.000 0.500
```

E above lowest polymorph, eV per atom: 0.000
Formation energy, eV per atom: -0.062



No. 3
Material: RbCoW2S8
Method: DFT, PBE-GGA
State: relaxed

CIF file:
```
data_RbCoW2S8
_cell_length_a 10.093
_cell_length_b 10.093
_cell_length_c 10.093
_cell_angle_alpha 35.28
_cell_angle_beta 35.28
_cell_angle_gamma 35.28
_symmetry_space_group_name_H-M 'P 1'
_symmetry_Int_Tables_number 1
_symmetry_space_group_name_Hall 'P 1'
loop_
_atom_site_label
_atom_site_fract_x
_atom_site_fract_y
_atom_site_fract_z
Rb1 0.000 0.000 0.000
Co1 0.500 0.500 0.500
W1 0.237 0.237 0.237
W2 0.763 0.763 0.763
S1 0.150 0.454 0.752
S2 0.248 0.850 0.546
S3 0.314 0.314 0.314
S4 0.454 0.752 0.150
S5 0.546 0.248 0.850
S6 0.686 0.686 0.686
S7 0.752 0.150 0.454
S8 0.850 0.546 0.248
```

Energy relative to the elements, uncorrected, eV per formula unit: -5.31



No. 4
Material: TbPuCd6
Method: DFT, PBE-GGA
State: relaxed

CIF file:
```
data_TbPuCd6
_cell_length_a 4.956
_cell_length_b 6.589
_cell_length_c 6.589
_cell_angle_alpha 65.49
_cell_angle_beta 90.00
_cell_angle_gamma 90.00
_symmetry_space_group_name_H-M 'P 1'
_symmetry_Int_Tables_number 1
_symmetry_space_group_name_Hall 'P 1'
loop_
_atom_site_label
_atom_site_fract_x
_atom_site_fract_y
_atom_site_fract_z
Tb1 0.000 0.000 0.000
Pu1 0.500 0.727 0.727
Cd1 0.000 0.052 0.486
Cd2 0.000 0.486 0.052
Cd3 0.000 0.538 0.538
Cd4 0.500 0.190 0.190
Cd5 0.500 0.241 0.674
Cd6 0.500 0.674 0.241
```

Formation energy, eV per atom: -0.151



Total magnetic moment for every record listed, in sequence, given in μB/f.u.: 0.625 0.000 0.000 5.938.